## a
Material: Ac2GaSn3
Method: DFT, PBE
State: relaxed

Lattice parameters (Å, degrees): 4.517 4.656 8.909 90.00 90.00 90.00
Space group Pmm2 (No. 25)
One atom of each set of equivalent atoms:
1 Ac 0.000 0.000 0.000 (multiplicity 1)
2 Ac 0.000 0.500 0.486 (multiplicity 1)
3 Ga 0.500 0.000 0.328 (multiplicity 1)
4 Sn 0.500 0.000 0.637 (multiplicity 1)
5 Sn 0.500 0.500 0.174 (multiplicity 1)
6 Sn 0.500 0.500 0.834 (multiplicity 1)

Theoretical density (g cm⁻³): 7.799
Fermi-level density of states (states/eV/f.u.): 3.2
Magnetization (μB per cell): 0.00

---

## b
Material: Ac2GaSn3
Method: DFT, PBE
State: relaxed

Lattice parameters (Å, degrees): 12.574 4.644 8.115 90.00 129.59 90.00
Space group Cm (No. 8)
One atom of each set of equivalent atoms:
1 Ac 0.000 0.000 0.000 (multiplicity 2)
2 Ac 0.123 0.000 0.621 (multiplicity 2)
3 Ga 0.216 0.500 0.016 (multiplicity 2)
4 Sn 0.213 0.500 0.409 (multiplicity 2)
5 Sn 0.385 0.000 0.186 (multiplicity 2)
6 Sn 0.414 0.000 0.621 (multiplicity 2)

Theoretical density (g cm⁻³): 8.002
Fermi-level density of states (states/eV/f.u.): 4.1
Magnetization (μB per cell): 0.00

---

Verdict on stability: b comes out at the bottom.

---

## a
Material: AcGaSn
Method: DFT, PBE
State: relaxed

Lattice parameters (Å, degrees): 4.693 4.693 15.924 90.00 90.00 90.00
Space group I-4m2 (No. 119)
One atom of each set of equivalent atoms:
1 Ac 0.000 0.000 0.000 (multiplicity 2)
2 Ac 0.000 0.500 0.250 (multiplicity 2)
3 Ga 0.000 0.000 0.422 (multiplicity 4)
4 Sn 0.000 0.500 0.661 (multiplicity 4)

Theoretical density (g cm⁻³): 7.867
Fermi-level density of states (states/eV/f.u.): 1.4
Magnetization (μB per cell): 0.00

---

## b
Material: AcGaSn
Method: DFT, PBE
State: relaxed

Lattice parameters (Å, degrees): 7.227 7.227 7.227 90.00 90.00 90.00
Space group F-43m (No. 216)
One atom of each set of equivalent atoms:
1 Ac 0.000 0.000 0.000 (multiplicity 4)
2 Ga 0.250 0.250 0.250 (multiplicity 4)
3 Sn 0.000 0.000 0.500 (multiplicity 4)

Theoretical density (g cm⁻³): 7.310
Fermi-level density of states (states/eV/f.u.): 2.1
Magnetization (μB per cell): 0.00

---

## c
Material: AcGaSn
Method: DFT, PBE
State: relaxed

Lattice parameters (Å, degrees): 4.5745 4.5745 4.8940 90.00 90.00 120.00
Space group P3m1 (No. 156)
One atom of each set of equivalent atoms:
1 Ac 0.0000 0.0000 0.0000 (multiplicity 1)
2 Ga 0.3333 0.6667 0.6254 (multiplicity 1)
3 Sn 0.6667 0.3333 0.4501 (multiplicity 1)

Theoretical density (g cm⁻³): 7.778
Fermi-level density of states (states/eV/f.u.): 0.3
Magnetization (μB per cell): 0.00

---

Verdict on stability: b comes out at the bottom.

---

## a
Material: AcGaSn
Method: DFT, PBE
State: relaxed

Lattice parameters (Å, degrees): 16.385 4.933 4.506 90.00 105.94 90.00
Space group C2/m (No. 12)
One atom of each set of equivalent atoms:
1 Ac 0.119 0.000 0.366 (multiplicity 4)
2 Ga 0.035 0.500 0.785 (multiplicity 4)
3 Sn 0.203 0.500 0.944 (multiplicity 4)

Theoretical density (g cm⁻³): 7.880
Fermi-level density of states (states/eV/f.u.): 0.9
Magnetization (μB per cell): 0.00

---

## b
Material: AcGaSn
Method: DFT, PBE
State: relaxed

Lattice parameters (Å, degrees): 4.586 4.586 9.156 90.00 90.00 90.00
Space group I4mm (No. 107)
One atom of each set of equivalent atoms:
1 Ac 0.000 0.000 0.000 (multiplicity 2)
2 Ga 0.000 0.000 0.658 (multiplicity 2)
3 Sn 0.000 0.000 0.356 (multiplicity 2)

Theoretical density (g cm⁻³): 7.165
Fermi-level density of states (states/eV/f.u.): 1.5
Magnetization (μB per cell): 0.00

---

Verdict on stability: b comes out at the bottom.

---

## a
Material: Ac4GaSn2
Method: DFT, PBE
State: relaxed

Lattice parameters (Å, degrees): 5.698 5.698 17.784 90.00 90.00 90.00
Space group I4/mmm (No. 139)
One atom of each set of equivalent atoms:
1 Ac 0.000 0.000 0.181 (multiplicity 4)
2 Ac 0.000 0.500 0.000 (multiplicity 4)
3 Ga 0.000 0.000 0.000 (multiplicity 2)
4 Sn 0.000 0.000 0.370 (multiplicity 4)

Theoretical density (g cm⁻³): 6.988
Fermi-level density of states (states/eV/f.u.): 6.4
Magnetization (μB per cell): 0.00

---

## b
Material: Ac4GaSn2
Method: DFT, PBE
State: relaxed

Lattice parameters (Å, degrees): 14.765 5.405 7.154 90.00 111.42 90.00
Space group C2/m (No. 12)
One atom of each set of equivalent atoms:
1 Ac 0.081 0.000 0.288 (multiplicity 4)
2 Ac 0.151 0.500 0.761 (multiplicity 4)
3 Ga 0.000 0.500 0.000 (multiplicity 2)
4 Sn 0.218 0.500 0.271 (multiplicity 4)

Theoretical density (g cm⁻³): 7.593
Fermi-level density of states (states/eV/f.u.): 8.4
Magnetization (μB per cell): 0.01

---

Verdict on stability: a comes out at the bottom.

---

## a
Material: Ac3GaSn3
Method: DFT, PBE
State: relaxed

Lattice parameters (Å, degrees): 12.354 4.766 16.131 90.00 105.82 90.00
Space group C2/m (No. 12)
One atom of each set of equivalent atoms:
1 Ac 0.019 0.000 0.381 (multiplicity 4)
2 Ac 0.103 0.000 0.923 (multiplicity 4)
3 Ac 0.239 0.000 0.234 (multiplicity 4)
4 Ga 0.233 0.500 0.380 (multiplicity 4)
5 Sn 0.016 0.500 0.228 (multiplicity 4)
6 Sn 0.123 0.500 0.081 (multiplicity 4)
7 Sn 0.149 0.500 0.539 (multiplicity 4)

Theoretical density (g cm⁻³): 8.044
Fermi-level density of states (states/eV/f.u.): 6.1
Magnetization (μB per cell): 0.00

---

## b
Material: Ac3GaSn3
Method: DFT, PBE
State: relaxed

Lattice parameters (Å, degrees): 9.6708 9.6708 6.8375 90.00 90.00 120.00
Space group P6_3/m (No. 176)
One atom of each set of equivalent atoms:
1 Ac 0.0676 0.3745 0.2500 (multiplicity 6)
2 Ga 0.3333 0.6667 0.7500 (multiplicity 2)
3 Sn 0.0694 0.3687 0.7500 (multiplicity 6)

Theoretical density (g cm⁻³): 6.638
Fermi-level density of states (states/eV/f.u.): 1.5
Magnetization (μB per cell): 0.00

---

Verdict on stability: b comes out at the bottom.

---

## a
Material: Ac3Ga3Sn2
Method: DFT, PBE
State: relaxed

Lattice parameters (Å, degrees): 4.553 12.410 17.191 90.00 90.00 90.00
Space group Cmcm (No. 63)
One atom of each set of equivalent atoms:
1 Ac 0.000 0.059 0.250 (multiplicity 4)
2 Ac 0.000 0.354 0.093 (multiplicity 8)
3 Ga 0.000 0.040 0.066 (multiplicity 8)
4 Ga 0.000 0.207 0.750 (multiplicity 4)
5 Sn 0.000 0.349 0.612 (multiplicity 8)

Theoretical density (g cm⁻³): 7.710
Fermi-level density of states (states/eV/f.u.): 3.7
Magnetization (μB per cell): 0.00

---

## b
Material: Ac3Ga3Sn2
Method: DFT, PBE
State: relaxed

Lattice parameters (Å, degrees): 4.690 12.334 16.070 90.00 90.00 90.00
Space group Cmcm (No. 63)
One atom of each set of equivalent atoms:
1 Ac 0.000 0.058 0.111 (multiplicity 8)
2 Ac 0.000 0.344 0.250 (multiplicity 4)
3 Ga 0.000 0.378 0.038 (multiplicity 8)
4 Ga 0.000 0.382 0.750 (multiplicity 4)
5 Sn 0.000 0.232 0.604 (multiplicity 8)

Theoretical density (g cm⁻³): 8.057
Fermi-level density of states (states/eV/f.u.): 5.5
Magnetization (μB per cell): 0.00

---

Verdict on stability: b comes out at the bottom.

---

## a
Material: SrAcGaSn
Method: DFT, PBE
State: relaxed

Lattice parameters (Å, degrees): 8.012 8.012 8.012 90.00 90.00 90.00
Space group F-43m (No. 216)
One atom of each set of equivalent atoms:
1 Sr 0.000 0.000 0.000 (multiplicity 4)
2 Ac 0.000 0.000 0.500 (multiplicity 4)
3 Ga 0.250 0.250 0.750 (multiplicity 4)
4 Sn 0.250 0.250 0.250 (multiplicity 4)

Theoretical density (g cm⁻³): 6.496
Fermi-level density of states (states/eV/f.u.): 1.5
Magnetization (μB per cell): 0.00

---

## b
Material: SrAcGaSn
Method: DFT, PBE
State: relaxed

Lattice parameters (Å, degrees): 4.467 4.941 12.061 90.00 90.00 90.00
Space group Amm2 (No. 38)
One atom of each set of equivalent atoms:
1 Sr 0.000 0.000 0.000 (multiplicity 2)
2 Ac 0.500 0.000 0.276 (multiplicity 2)
3 Ga 0.000 0.000 0.716 (multiplicity 2)
4 Sn 0.500 0.000 0.569 (multiplicity 2)

Theoretical density (g cm⁻³): 6.277
Fermi-level density of states (states/eV/f.u.): 1.9
Magnetization (μB per cell): 0.00

---

Verdict on stability: a comes out at the bottom.

---

## a
Material: SrAc2Ga6
Method: DFT, PBE
State: relaxed

Lattice parameters (Å, degrees): 4.783 7.526 14.114 90.00 90.00 90.00
Space group Immm (No. 71)
One atom of each set of equivalent atoms:
1 Sr 0.000 0.000 0.000 (multiplicity 2)
2 Ac 0.000 0.500 0.138 (multiplicity 4)
3 Ga 0.000 0.179 0.500 (multiplicity 4)
4 Ga 0.000 0.313 0.331 (multiplicity 8)

Theoretical density (g cm⁻³): 6.275
Fermi-level density of states (states/eV/f.u.): 3.5
Magnetization (μB per cell): 0.00

---

## b
Material: SrAc2Ga6
Method: DFT, PBE
State: relaxed

Lattice parameters (Å, degrees): 7.6066 7.6066 4.7099 90.00 90.00 120.00
Space group P6/mmm (No. 191)
One atom of each set of equivalent atoms:
1 Sr 0.0000 0.0000 0.0000 (multiplicity 1)
2 Ac 0.3333 0.6667 0.0000 (multiplicity 2)
3 Ga 0.0000 0.3337 0.5000 (multiplicity 6)

Theoretical density (g cm⁻³): 6.754
Fermi-level density of states (states/eV/f.u.): 5.4
Magnetization (μB per cell): 0.00

---

Verdict on stability: a comes out at the bottom.

---

## a
Material: SrAc2Ga
Method: DFT, PBE
State: relaxed

Lattice parameters (Å, degrees): 4.003 4.003 10.031 90.00 90.00 90.00
Space group P4/mmm (No. 123)
One atom of each set of equivalent atoms:
1 Sr 0.000 0.000 0.000 (multiplicity 1)
2 Ac 0.500 0.500 0.318 (multiplicity 2)
3 Ga 0.000 0.000 0.500 (multiplicity 1)

Theoretical density (g cm⁻³): 6.315
Fermi-level density of states (states/eV/f.u.): 4.8
Magnetization (μB per cell): 0.00

---

## b
Material: SrAc2Ga
Method: DFT, PBE
State: relaxed

Lattice parameters (Å, degrees): 4.1078 4.1078 34.7028 90.00 90.00 120.00
Space group R3m (No. 160, hexagonal axes)
One atom of each set of equivalent atoms:
1 Sr 0.0000 0.0000 0.0000 (multiplicity 3)
2 Ac 0.0000 0.0000 0.5637 (multiplicity 3)
3 Ac 0.0000 0.0000 0.7695 (multiplicity 3)
4 Ga 0.0000 0.0000 0.1662 (multiplicity 3)

Theoretical density (g cm⁻³): 6.005
Fermi-level density of states (states/eV/f.u.): 5.8
Magnetization (μB per cell): 0.00

---

Verdict on stability: b comes out at the bottom.

---

## a
Material: SrAc2Ga
Method: DFT, PBE
State: relaxed

Lattice parameters (Å, degrees): 5.358 5.358 5.109 90.00 90.00 90.00
Space group P4/mmm (No. 123)
One atom of each set of equivalent atoms:
1 Sr 0.000 0.000 0.000 (multiplicity 1)
2 Ac 0.000 0.500 0.500 (multiplicity 2)
3 Ga 0.500 0.500 0.000 (multiplicity 1)

Theoretical density (g cm⁻³): 6.921
Fermi-level density of states (states/eV/f.u.): 4.6
Magnetization (μB per cell): 0.00

---

## b
Material: SrAc2Ga
Method: DFT, PBE
State: relaxed

Lattice parameters (Å, degrees): 4.213 14.503 10.279 90.00 90.00 90.00
Space group Cmcm (No. 63)
One atom of each set of equivalent atoms:
1 Sr 0.000 0.060 0.250 (multiplicity 4)
2 Ac 0.000 0.353 0.056 (multiplicity 8)
3 Ga 0.000 0.263 0.750 (multiplicity 4)

Theoretical density (g cm⁻³): 6.465
Fermi-level density of states (states/eV/f.u.): 5.1
Magnetization (μB per cell): 0.00

---

## c
Material: SrAc2Ga
Method: DFT, PBE
State: relaxed

Lattice parameters (Å, degrees): 4.1059 4.1059 34.7386 90.00 90.00 120.00
Space group R-3m (No. 166, hexagonal axes)
One atom of each set of equivalent atoms:
1 Sr 0.0000 0.0000 0.0000 (multiplicity 3)
2 Ac 0.0000 0.0000 0.2304 (multiplicity 6)
3 Ga 0.0000 0.0000 0.5000 (multiplicity 3)

Theoretical density (g cm⁻³): 6.005
Fermi-level density of states (states/eV/f.u.): 5.9
Magnetization (μB per cell): 0.00

---

Verdict on stability: a comes out at the bottom.

---

## a
Material: Sr2AcGa
Method: DFT, PBE
State: relaxed

Lattice parameters (Å, degrees): 4.0718 4.0718 34.6009 90.00 90.00 120.00
Space group R3m (No. 160, hexagonal axes)
One atom of each set of equivalent atoms:
1 Sr 0.0000 0.0000 0.0000 (multiplicity 3)
2 Sr 0.0000 0.0000 0.2016 (multiplicity 3)
3 Ac 0.0000 0.0000 0.4349 (multiplicity 3)
4 Ga 0.0000 0.0000 0.6004 (multiplicity 3)

Theoretical density (g cm⁻³): 4.732
Fermi-level density of states (states/eV/f.u.): 4.8
Magnetization (μB per cell): 0.00

---

## b
Material: Sr2AcGa
Method: DFT, PBE
State: relaxed

Lattice parameters (Å, degrees): 3.9597 3.9597 37.3891 90.00 90.00 120.00
Space group R-3m (No. 166, hexagonal axes)
One atom of each set of equivalent atoms:
1 Sr 0.0000 0.0000 0.1047 (multiplicity 6)
2 Ac 0.0000 0.0000 0.0000 (multiplicity 3)
3 Ga 0.0000 0.0000 0.5000 (multiplicity 3)

Theoretical density (g cm⁻³): 4.631
Fermi-level density of states (states/eV/f.u.): 4.1
Magnetization (μB per cell): 0.00

---

## c
Material: Sr2AcGa
Method: DFT, PBE
State: relaxed

Lattice parameters (Å, degrees): 3.886 3.886 10.392 90.00 90.00 90.00
Space group P4/mmm (No. 123)
One atom of each set of equivalent atoms:
1 Sr 0.000 0.000 0.188 (multiplicity 2)
2 Ac 0.500 0.500 0.500 (multiplicity 1)
3 Ga 0.500 0.500 0.000 (multiplicity 1)

Theoretical density (g cm⁻³): 4.993
Fermi-level density of states (states/eV/f.u.): 5.7
Magnetization (μB per cell): 0.00

---

## d
Material: Sr2AcGa
Method: DFT, PBE
State: relaxed

Lattice parameters (Å, degrees): 5.161 5.161 5.641 90.00 90.00 90.00
Space group P4/mmm (No. 123)
One atom of each set of equivalent atoms:
1 Sr 0.000 0.500 0.000 (multiplicity 2)
2 Ac 0.000 0.000 0.500 (multiplicity 1)
3 Ga 0.500 0.500 0.500 (multiplicity 1)

Theoretical density (g cm⁻³): 5.215
Fermi-level density of states (states/eV/f.u.): 2.5
Magnetization (μB per cell): 0.00

---

Verdict on stability: b comes out at the bottom.